#one
DFT (PBE) results for a relaxed SnBOs2 crystal.

Unit cell a=4.6252 b=4.6252 c=7.5434 alpha=72.15 beta=72.15 gamma=90.00
Sites, in units of the cell vectors:
Sn 0.0000 0.0000 0.0000
Os 0.4785 0.1250 0.2500
B 0.2500 0.7500 0.5000
Os 0.2715 0.6250 0.2500
Sn 0.7500 0.2500 0.5000
Os 0.3750 0.5215 0.7500
Os 0.8750 0.7285 0.7500
B 0.5000 0.5000 0.0000

Results
Its magnetic moment is 0.00 μB per formula unit. As for the symmetry: I-42d (122).

---

#two
DFT (PBE) results for a relaxed SnBOs2 crystal.

Unit cell a=4.3036 b=4.3036 c=4.3036 alpha=60.00 beta=60.00 gamma=60.00
Sites, in units of the cell vectors:
Os 0.7500 0.7500 0.7500
B 0.0000 0.0000 0.0000
Sn 0.5000 0.5000 0.5000
Os 0.2500 0.2500 0.2500

Results
Its magnetic moment is 0.00 μB per formula unit. As for the symmetry: Fm-3m (225).

---

#one comes first in stability; the runner-up is 172 meV/atom higher.